# 1
# SmTcAsO

Crystalline SmTcAsO at its relaxed geometry (PBE, OQMD via LeMat-Bulk).

## Properties
**Polymorph energy (0 for the lowest one)**: 1.600 eV/atom
**Spin magnetization**: 1.0 μB/f.u.
**Uncorrected energy**: -6.32 eV/atom
**Volume**: 168 Å³/cell
**Space-group type**: P4/nmm (129)

Unit cell a=4.2176 b=4.2176 c=9.4573 alpha=90.00 beta=90.00 gamma=90.00
Fractional positions:
Sm 0.2500 0.7500 0.0000
Sm 0.7500 0.2500 0.0000
Tc 0.2500 0.2500 0.4681
Tc 0.7500 0.7500 0.5319
As 0.2500 0.2500 0.2201
As 0.7500 0.7500 0.7799
O 0.2500 0.7500 0.5000
O 0.7500 0.2500 0.5000


# 2
# SmTeAsO6

Crystalline SmTeAsO6 at its relaxed geometry (PBE, OQMD via LeMat-Bulk).

## Properties
**Spin magnetization**: 0.0 μB/f.u.
**Uncorrected energy**: -6.37 eV/atom
**Volume**: 243 Å³/cell
**Space-group type**: P-31c (163)

Unit cell a=5.3643 b=5.3643 c=9.7610 alpha=90.00 beta=90.00 gamma=120.00
Fractional positions:
Sm 0.0000 0.0000 0.0000
Sm 0.0000 0.0000 0.5000
Te 0.3333 0.6667 0.2500
Te 0.6667 0.3333 0.7500
As 0.3333 0.6667 0.7500
As 0.6667 0.3333 0.2500
O 0.0283 0.3736 0.1374
O 0.0283 0.6548 0.3626
O 0.3452 0.3736 0.3626
O 0.3452 0.9717 0.1374
O 0.3736 0.0283 0.6374
O 0.3736 0.3452 0.8626
O 0.6264 0.6548 0.1374
O 0.6264 0.9717 0.3626
O 0.6548 0.0283 0.8626
O 0.6548 0.6264 0.6374
O 0.9717 0.3452 0.6374
O 0.9717 0.6264 0.8626


# 3
# Sm2TmAsO6

Crystalline Sm2TmAsO6 at its relaxed geometry (PBE, OQMD via LeMat-Bulk).

## Properties
**Spin magnetization**: 0.0 μB/f.u.
**Uncorrected energy**: -7.32 eV/atom
**Volume**: 138 Å³/cell
**Space-group type**: P-1 (2)

Unit cell a=5.2181 b=5.3096 c=5.4997 alpha=106.36 beta=104.30 gamma=98.23
Fractional positions:
Sm 0.2357 0.2147 0.4743
Sm 0.7643 0.7853 0.5257
Tm 0.0000 0.5000 0.0000
As 0.5000 0.0000 0.0000
O 0.1482 0.1376 0.8379
O 0.2195 0.6342 0.7243
O 0.3625 0.7996 0.2731
O 0.6375 0.2004 0.7269
O 0.7805 0.3658 0.2757
O 0.8518 0.8624 0.1621


Among the records above, which one has the lowest volume?
Sm2TmAsO6


Copy entry 2 word for word.
# SmTeAsO6

Crystalline SmTeAsO6 at its relaxed geometry (PBE, OQMD via LeMat-Bulk).

## Properties
**Spin magnetization**: 0.0 μB/f.u.
**Uncorrected energy**: -6.37 eV/atom
**Volume**: 243 Å³/cell
**Space-group type**: P-31c (163)

Unit cell a=5.3643 b=5.3643 c=9.7610 alpha=90.00 beta=90.00 gamma=120.00
Fractional positions:
Sm 0.0000 0.0000 0.0000
Sm 0.0000 0.0000 0.5000
Te 0.3333 0.6667 0.2500
Te 0.6667 0.3333 0.7500
As 0.3333 0.6667 0.7500
As 0.6667 0.3333 0.2500
O 0.0283 0.3736 0.1374
O 0.0283 0.6548 0.3626
O 0.3452 0.3736 0.3626
O 0.3452 0.9717 0.1374
O 0.3736 0.0283 0.6374
O 0.3736 0.3452 0.8626
O 0.6264 0.6548 0.1374
O 0.6264 0.9717 0.3626
O 0.6548 0.0283 0.8626
O 0.6548 0.6264 0.6374
O 0.9717 0.3452 0.6374
O 0.9717 0.6264 0.8626


What did the third record say?
# Sm2TmAsO6

Crystalline Sm2TmAsO6 at its relaxed geometry (PBE, OQMD via LeMat-Bulk).

## Properties
**Spin magnetization**: 0.0 μB/f.u.
**Uncorrected energy**: -7.32 eV/atom
**Volume**: 138 Å³/cell
**Space-group type**: P-1 (2)

Unit cell a=5.2181 b=5.3096 c=5.4997 alpha=106.36 beta=104.30 gamma=98.23
Fractional positions:
Sm 0.2357 0.2147 0.4743
Sm 0.7643 0.7853 0.5257
Tm 0.0000 0.5000 0.0000
As 0.5000 0.0000 0.0000
O 0.1482 0.1376 0.8379
O 0.2195 0.6342 0.7243
O 0.3625 0.7996 0.2731
O 0.6375 0.2004 0.7269
O 0.7805 0.3658 0.2757
O 0.8518 0.8624 0.1621